(1)
Density functional theory data (GGA-PBEsol) for a geometry-optimized TiMo3 structure.

Results
- ΔH_f (0 K): -0.14 eV per atom
- Spin magnetization: 0.00 μB per cell
- SG: Immm
- Calculated total energy: -11.05 eV/atom

Cell lengths 3.131, 4.387, 5.186 Å; angles 115.02, 107.57, 90.00 degrees
Positions (direct):
Mo 0.756 0.756 0.512
Mo 0.244 0.244 0.488
Mo 0.500 0.000 0.000
Ti 0.000 0.500 0.000

***

(2)
Density functional theory data (GGA-PBEsol) for a geometry-optimized TiMo2 structure.

Results
- ΔH_f (0 K): -0.07 eV per atom
- Spin magnetization: 0.00 μB per cell
- SG: Fmmm
- Calculated total energy: -10.69 eV/atom

Cell lengths 2.745, 2.745, 6.725 Å; angles 97.55, 97.55, 110.88 degrees
Positions (direct):
Mo 0.332 0.332 0.663
Mo 0.668 0.668 0.337
Ti 0.000 0.000 0.000

***

(3)
Density functional theory data (GGA-PBEsol) for a geometry-optimized Ti3TlMo structure.

Results
- ΔH_f (0 K): 0.72 eV per atom
- Spin magnetization: 0.57 μB per cell
- SG: Pm-3m
- Calculated total energy: -7.16 eV/atom

Cell lengths 4.706, 4.706, 4.706 Å; angles 90.00, 90.00, 90.00 degrees
Site moments in Bohr magnetons follow the coordinates.
Positions (direct):
Tl 0.500 0.500 0.500  0.00
Mo 0.000 0.000 0.000  -0.03
Ti 0.000 0.500 0.000  0.15
Ti 0.000 0.000 0.500  0.15
Ti 0.500 0.000 0.000  0.15

***

(4)
Density functional theory data (GGA-PBEsol) for a geometry-optimized TiV2Mo structure.

Results
- ΔH_f (0 K): -0.01 eV per atom
- Spin magnetization: 0.01 μB per cell
- SG: Fm-3m
- Calculated total energy: -9.85 eV/atom

Cell lengths 4.314, 4.314, 4.314 Å; angles 60.00, 60.00, 60.00 degrees
Positions (direct):
Mo 0.000 0.000 0.000
Ti 0.500 0.500 0.500
V 0.250 0.250 0.250
V 0.750 0.750 0.750

***

(5)
Density functional theory data (GGA-PBEsol) for a geometry-optimized TiMo2W structure.

Results
- ΔH_f (0 K): -0.13 eV per atom
- Spin magnetization: 0.00 μB per cell
- SG: Fm-3m
- Calculated total energy: -11.55 eV/atom

Cell lengths 4.420, 4.420, 4.420 Å; angles 60.00, 60.00, 60.00 degrees
Positions (direct):
Mo 0.250 0.250 0.250
Mo 0.750 0.750 0.750
W 0.000 0.000 0.000
Ti 0.500 0.500 0.500

***

(6)
Density functional theory data (GGA-PBEsol) for a geometry-optimized YTiMo3 structure.

Results
- ΔH_f (0 K): 2.33 eV per atom
- Spin magnetization: 1.03 μB per cell
- SG: Pm-3m
- Calculated total energy: -7.76 eV/atom

Cell lengths 4.676, 4.676, 4.676 Å; angles 90.00, 90.00, 90.00 degrees
Site moments in Bohr magnetons follow the coordinates.
Positions (direct):
Y 0.000 0.000 0.000  0.00
Mo 0.000 0.500 0.000  0.16
Mo 0.000 0.000 0.500  0.16
Mo 0.500 0.000 0.000  0.16
Ti 0.500 0.500 0.500  0.38

***

(7)
Density functional theory data (GGA-PBEsol) for a geometry-optimized Y3TiMo structure.

Results
- ΔH_f (0 K): 0.79 eV per atom
- Spin magnetization: 2.25 μB per cell
- SG: Pm-3m
- Calculated total energy: -7.32 eV/atom

Cell lengths 5.207, 5.207, 5.207 Å; angles 90.00, 90.00, 90.00 degrees
Site moments in Bohr magnetons follow the coordinates.
Positions (direct):
Y 0.000 0.500 0.000  0.05
Y 0.000 0.000 0.500  0.05
Y 0.500 0.000 0.000  0.05
Mo 0.000 0.000 0.000  -0.07
Ti 0.500 0.500 0.500  1.53

***

(8)
Density functional theory data (GGA-PBEsol) for a geometry-optimized TiZnMo3 structure.

Results
- ΔH_f (0 K): 1.55 eV per atom
- Spin magnetization: 0.00 μB per cell
- SG: Pm-3m
- Calculated total energy: -7.50 eV/atom

Cell lengths 4.490, 4.490, 4.490 Å; angles 90.00, 90.00, 90.00 degrees
Positions (direct):
Mo 0.000 0.500 0.000
Mo 0.000 0.000 0.500
Mo 0.500 0.000 0.000
Zn 0.500 0.500 0.500
Ti 0.000 0.000 0.000

***

(9)
Density functional theory data (GGA-PBEsol) for a geometry-optimized ZrTi2Mo structure.

Results
- ΔH_f (0 K): 0.07 eV per atom
- Spin magnetization: 0.00 μB per cell
- SG: Fm-3m
- Calculated total energy: -9.30 eV/atom

Cell lengths 4.572, 4.572, 4.572 Å; angles 60.00, 60.00, 60.00 degrees
Positions (direct):
Mo 0.500 0.500 0.500
Zr 0.000 0.000 0.000
Ti 0.250 0.250 0.250
Ti 0.750 0.750 0.750

***

(10)
Density functional theory data (GGA-PBEsol) for a geometry-optimized ZrTi3Mo structure.

Results
- ΔH_f (0 K): 1.48 eV per atom
- Spin magnetization: 0.01 μB per cell
- SG: Pm-3m
- Calculated total energy: -7.69 eV/atom

Cell lengths 4.577, 4.577, 4.577 Å; angles 90.00, 90.00, 90.00 degrees
Positions (direct):
Mo 0.500 0.500 0.500
Zr 0.000 0.000 0.000
Ti 0.000 0.500 0.000
Ti 0.000 0.000 0.500
Ti 0.500 0.000 0.000

***

(11)
Density functional theory data (GGA-PBEsol) for a geometry-optimized ZrTiMo4 structure.

Results
- ΔH_f (0 K): -0.05 eV per atom
- Spin magnetization: 0.00 μB per cell
- SG: F-43m
- Calculated total energy: -10.80 eV/atom

Cell lengths 5.255, 5.255, 5.255 Å; angles 60.00, 60.00, 60.00 degrees
Positions (direct):
Mo 0.875 0.375 0.375
Mo 0.375 0.375 0.375
Mo 0.375 0.875 0.375
Mo 0.375 0.375 0.875
Zr 0.000 0.000 0.000
Ti 0.750 0.750 0.750

***

(12)
Density functional theory data (GGA-PBEsol) for a geometry-optimized TlMo2 structure.

Results
- ΔH_f (0 K): 0.61 eV per atom
- Spin magnetization: 0.00 μB per cell
- SG: P-3m1
- Calculated total energy: -8.11 eV/atom

Cell lengths 2.836, 4.585, 4.585 Å; angles 120.00, 90.00, 90.00 degrees
Positions (direct):
Mo 0.614 0.333 0.667
Mo 0.386 0.667 0.333
Tl 0.000 0.000 0.000